Entry 1:
A geometry-optimized CoTcOs structure. Source: the Alexandria database, functional PBE.

Computed properties:
energy of formation from the pure elements = 144.7 meV/atom
energy relative to the lowest polymorph listed for this composition = 84 meV per atom
crystal system = hexagonal
magnetization = 0.00 Bohr magnetons per cell

```
CoTcOs
1.0
4.149 0.000 0.000
-2.075 3.593 0.000
0.000 0.000 2.670
Os Co Tc
1 1 1
direct
0.667 0.333 0.333
0.000 0.000 0.833
0.333 0.667 0.833
```


Entry 2:
A geometry-optimized Co2TcOs structure. Source: the Alexandria database, functional PBE.

Computed properties:
energy of formation from the pure elements = 155.5 meV/atom
energy relative to the lowest polymorph listed for this composition = 111 meV per atom
crystal system = trigonal
magnetization = 2.79 Bohr magnetons per cell

```
Co2TcOs
1.0
-4.415 -1.382 7.233
-6.246 -2.185 5.472
-4.360 -3.877 6.299
Co Tc Os
2 1 1
direct
0.996 0.996 0.996
0.254 0.254 0.254
0.748 0.748 0.748
0.502 0.502 0.502
```


Entry 3:
A geometry-optimized Co2TcOs structure. Source: the Alexandria database, functional PBE.

Computed properties:
energy of formation from the pure elements = 112.5 meV/atom
energy relative to the lowest polymorph listed for this composition = 68 meV per atom
crystal system = tetragonal
magnetization = 0.83 Bohr magnetons per cell

```
Co2TcOs
1.0
3.677 0.000 0.000
0.000 3.677 0.000
0.000 0.000 3.689
Os Co Tc
1 2 1
direct
0.500 0.000 0.500
0.500 0.500 0.000
0.000 0.000 0.000
0.000 0.500 0.500
```


Entry 4:
A geometry-optimized Co2TcOs structure. Source: the Alexandria database, functional PBE.

Computed properties:
energy of formation from the pure elements = 169.9 meV/atom
energy relative to the lowest polymorph listed for this composition = 126 meV per atom
crystal system = monoclinic
magnetization = 1.62 Bohr magnetons per cell

```
Co2TcOs
1.0
-2.770 3.364 1.077
-3.852 1.141 2.003
1.566 0.979 4.180
Tc Os Co
1 1 2
direct
0.250 0.250 0.250
0.750 0.750 0.750
0.498 0.498 0.502
0.002 0.002 0.998
```


Entry 5:
A geometry-optimized Co2TcOs structure. Source: the Alexandria database, functional PBE.

Computed properties:
energy of formation from the pure elements = 110.3 meV/atom
energy relative to the lowest polymorph listed for this composition = 66 meV per atom
crystal system = monoclinic
magnetization = 0.00 Bohr magnetons per cell

```
Co2TcOs
1.0
-3.985 -0.967 1.869
-3.655 -2.632 -0.110
1.344 -3.176 2.897
Os Co Tc
1 2 1
direct
0.497 0.497 0.516
0.999 0.999 0.997
0.752 0.752 0.751
0.252 0.252 0.236
```


Entry 6:
A geometry-optimized Co3TcOs structure. Source: the Alexandria database, functional PBE.

Computed properties:
energy of formation from the pure elements = 1890.3 meV/atom
energy relative to the lowest polymorph listed for this composition = 129 meV per atom
crystal system = cubic
magnetization = 3.66 Bohr magnetons per cell

```
Co3TcOs
1.0
4.292 0.000 0.000
0.000 4.292 0.000
0.000 0.000 4.292
Co Tc Os
3 1 1
direct
0.000 0.500 0.000
0.500 0.000 0.000
0.000 0.000 0.500
0.000 0.000 0.000
0.500 0.500 0.500
```


Entry 7:
A geometry-optimized CoTc4Os structure. Source: the Alexandria database, functional PBE.

Computed properties:
energy of formation from the pure elements = 502.5 meV/atom
crystal system = cubic
magnetization = 1.56 Bohr magnetons per cell

```
CoTc4Os
1.0
0.000 3.548 3.548
3.548 0.000 3.548
3.548 3.548 0.000
Co Tc Os
1 4 1
direct
0.750 0.750 0.750
0.872 0.376 0.376
0.376 0.376 0.872
0.376 0.376 0.376
0.376 0.872 0.376
0.000 0.000 0.000
```


Entry 8:
A geometry-optimized CoTcOs structure. Source: the Alexandria database, functional PBE.

Computed properties:
energy of formation from the pure elements = 115.5 meV/atom
energy relative to the lowest polymorph listed for this composition = 55 meV per atom
crystal system = tetragonal
magnetization = 0.00 Bohr magnetons per cell

```
CoTcOs
1.0
-0.052 -3.783 -4.461
-1.322 -5.532 -1.367
-1.075 5.184 2.488
Os Co Tc
1 1 1
direct
0.338 0.338 0.000
0.000 0.000 0.000
0.662 0.662 0.000
```